[1]
The following is a DFT calculation (PBEsol) of an optimized crystal structure of TiCrOF2.

Computed properties:
Density: 4.2 g cm⁻³
Uncorrected energy: -0.513 Ry per atom
Energy relative to the elements, uncorrected: -1.4415 eV/atom
Volume: 12.03 Å³/atom
DOS(E_F): 5.79 states/eV/cell

Cell and atoms, written as CIF:
```
data_TiCrOF2
_chemical_formula_sum 'Ti1 Cr1 O1 F2'
_space_group_name_H-M_alt 'P 4/m m m'
_space_group_IT_number 123
_space_group_name_Hall '-P 4 2'
_cell_length_a 3.949
_cell_length_b 3.949
_cell_length_c 3.856
_cell_angle_alpha 90.00
_cell_angle_beta 90.00
_cell_angle_gamma 90.00
loop_
_atom_site_label
_atom_site_type_symbol
_atom_site_fract_x
_atom_site_fract_y
_atom_site_fract_z
_atom_site_occupancy
Ti1 Ti 0.000 0.000 0.000 1
Cr1 Cr 0.500 0.500 0.500 1
O1 O 0.500 0.500 0.000 1
F1 F 0.000 0.500 0.500 1
```


[2]
The following is a DFT calculation (PBEsol) of an optimized crystal structure of ZrCrOF2.

Computed properties:
Density: 5.2 g cm⁻³
Uncorrected energy: -0.521 Ry per atom
Energy relative to the elements, uncorrected: -1.4031 eV/atom
Volume: 12.52 Å³/atom
DOS(E_F): 3.83 states/eV/cell

Cell and atoms, written as CIF:
```
data_ZrCrOF2
_chemical_formula_sum 'Zr1 Cr1 O1 F2'
_space_group_name_H-M_alt 'P 4/m m m'
_space_group_IT_number 123
_space_group_name_Hall '-P 4 2'
_cell_length_a 4.016
_cell_length_b 4.016
_cell_length_c 3.882
_cell_angle_alpha 90.00
_cell_angle_beta 90.00
_cell_angle_gamma 90.00
loop_
_atom_site_label
_atom_site_type_symbol
_atom_site_fract_x
_atom_site_fract_y
_atom_site_fract_z
_atom_site_occupancy
Zr1 Zr 0.000 0.000 0.000 1
Cr1 Cr 0.500 0.500 0.500 1
O1 O 0.500 0.500 0.000 1
F1 F 0.000 0.500 0.500 1
```


[3]
The following is a DFT calculation (PBEsol) of an optimized crystal structure of CrOsF2.

Computed properties:
Density: 8.1 g cm⁻³
Uncorrected energy: -0.513 Ry per atom
Energy relative to the elements, uncorrected: -0.4003 eV/atom
Volume: 14.35 Å³/atom
DOS(E_F): 9.74 states/eV/cell

Cell and atoms, written as CIF:
```
data_CrOsF2
_chemical_formula_sum 'Cr3 Os3 F6'
_space_group_name_H-M_alt 'R -3 m'
_space_group_IT_number 166
_space_group_name_Hall '-R 3 2"'
_cell_length_a 2.5813
_cell_length_b 2.5813
_cell_length_c 29.8326
_cell_angle_alpha 90.00
_cell_angle_beta 90.00
_cell_angle_gamma 120.00
loop_
_atom_site_label
_atom_site_type_symbol
_atom_site_fract_x
_atom_site_fract_y
_atom_site_fract_z
_atom_site_occupancy
Cr1 Cr 0.0000 0.0000 0.0000 1
Os1 Os 0.0000 0.0000 0.5000 1
F1 F 0.0000 0.0000 0.0576 1
```